(1)
VASP calculation (GGA-PBEsol) on crystalline RhC3 at its relaxed geometry.

abc: 2.5667 3.0904 7.0469
angles: 90.00 90.00 90.00
Last column: nearest neighbours and their distance in Å.
Fractional coordinates of all 4 atoms:
C 0.0000 0.1964 0.0000  2 C 1.28
C 0.5000 0.2203 0.5000  4 Rh 2.01
C 0.5000 0.1965 0.0000  2 C 1.28
Rh 0.0000 0.7202 0.5000  4 C 2.01

Results
E	-8.090	eV per atom

=====

(2)
VASP calculation (GGA-PBEsol) on crystalline BeCd2CN at its relaxed geometry.

abc: 3.0366 4.6843 4.6843
angles: 90.00 90.00 90.00
Last column: nearest neighbours and their distance in Å.
Fractional coordinates of all 5 atoms:
Be 0.5000 0.0000 0.0000  2 N 1.52
C 0.5000 0.5000 0.5000  8 Cd 2.79, 2 C 3.04
Cd 0.0000 0.5000 0.0000  2 N 2.34
Cd 0.0000 0.0000 0.5000  2 N 2.34
N 0.0000 0.0000 0.0000  2 Be 1.52

Results
E	-4.054	eV per atom

=====

(3)
VASP calculation (GGA-PBEsol) on crystalline KSrZn2 at its relaxed geometry.

abc: 3.7885 5.5872 5.5872
angles: 90.23 89.98 89.98
Last column: nearest neighbours and their distance in Å.
Fractional coordinates of all 4 atoms:
K 0.5000 0.0000 0.0000  8 Zn 3.37-3.38
Sr 0.5000 0.5000 0.5000  8 Zn 3.37-3.38
Zn 0.0000 0.5000 0.0000  4 K 3.37-3.38, 4 Sr 3.37-3.38
Zn 0.0000 0.0000 0.5000  4 Sr 3.37-3.38, 4 K 3.37-3.38

Results
E	-1.403	eV per atom

=====

(4)
VASP calculation (GGA-PBEsol) on crystalline BeAgOs at its relaxed geometry.

abc: 3.8670 3.8670 3.8670
angles: 60.00 60.00 60.00
Last column: nearest neighbours and their distance in Å.
Fractional coordinates of all 3 atoms:
Be 0.2500 0.2500 0.2500  4 Os 2.37, 4 Ag 2.37
Os 0.0000 0.0000 0.0000  4 Be 2.37
Ag 0.5000 0.5000 0.5000  4 Be 2.37

Results
E	-5.771	eV per atom

=====

(5)
VASP calculation (GGA-PBEsol) on crystalline CdBiS2Br at its relaxed geometry.

abc: 3.9977 6.7516 9.4016
angles: 91.44 90.00 107.22
Last column: nearest neighbours and their distance in Å.
Fractional coordinates of all 10 atoms:
Cd 0.0000 0.0000 0.5000  6 S 2.56-2.77
Cd 0.0000 0.0000 0.0000  2 S 2.59, 4 Br 2.80
Br 0.3584 0.7168 0.0706  2 Cd 2.80
Br 0.6416 0.2832 0.9294  2 Cd 2.80
S 0.9181 0.8362 0.7456  2 Cd 2.56-2.59, 2 Bi 2.73
S 0.0819 0.1638 0.2544  2 Cd 2.56-2.59, 2 Bi 2.73
S 0.3554 0.7109 0.4446  3 Bi 2.63-2.94, 2 Cd 2.77
S 0.6446 0.2891 0.5554  3 Bi 2.63-2.94, 2 Cd 2.77
Bi 0.7227 0.4455 0.3001  5 S 2.63-2.94
Bi 0.2773 0.5545 0.6999  5 S 2.63-2.94

Results
E	-3.805	eV per atom

=====

(6)
VASP calculation (GGA-PBEsol) on crystalline BI2N at its relaxed geometry.

abc: 5.8351 5.8351 5.8351
angles: 81.29 64.89 115.11
Last column: nearest neighbours and their distance in Å.
Fractional coordinates of all 8 atoms:
N 0.5000 0.2500 0.2500  4 I 2.47
N 0.0000 0.0000 0.0000  4 I 2.47
B 0.0000 0.5000 0.5000  4 I 2.35
B 0.5000 0.7500 0.7500  4 I 2.35
I 0.0155 0.6250 0.8595  2 B 2.35, 2 N 2.47
I 0.5155 0.3905 0.6250  2 B 2.35, 2 N 2.47
I 0.9845 0.1250 0.3905  2 B 2.35, 2 N 2.47
I 0.4845 0.8595 0.1250  2 B 2.35, 2 N 2.47

Results
E	-3.092	eV per atom

=====

(7)
VASP calculation (GGA-PBEsol) on crystalline CrTcB2Cl at its relaxed geometry.

abc: 3.8282 3.8282 4.0867
angles: 90.00 90.00 90.00
Last column: nearest neighbours and their distance in Å.
Fractional coordinates of all 5 atoms:
Tc 0.5000 0.5000 0.5000  4 Cr 2.71, 8 B 2.80
Cl 0.0000 0.0000 0.0000  4 B 1.91, 2 Cr 2.04
B 0.5000 0.0000 0.0000  2 Cl 1.91
B 0.0000 0.5000 0.0000  2 Cl 1.91
Cr 0.0000 0.0000 0.5000  2 Cl 2.04

Results
E	-5.537	eV per atom

=====

(8)
VASP calculation (GGA-PBEsol) on crystalline RbHg2Bi2 at its relaxed geometry.

abc: 5.5431 5.5431 6.7655
angles: 114.18 114.18 90.00
Last column: nearest neighbours and their distance in Å.
Fractional coordinates of all 5 atoms:
Hg 0.7500 0.2500 0.5000  4 Bi 3.04
Hg 0.2500 0.7500 0.5000  4 Bi 3.04
Bi 0.3624 0.3624 0.7248  1 Bi 3.04, 4 Hg 3.04
Bi 0.6376 0.6376 0.2752  1 Bi 3.04, 4 Hg 3.04
Rb 0.0000 0.0000 0.0000  8 Hg 3.91, 10 Bi 4.00-4.20

Results
E	-2.303	eV per atom

=====

(9)
VASP calculation (GGA-PBEsol) on crystalline SiHg2Os at its relaxed geometry.

abc: 3.0697 3.0697 7.4253
angles: 90.00 90.00 90.00
Last column: nearest neighbours and their distance in Å.
Fractional coordinates of all 4 atoms:
Hg 0.5000 0.5000 0.2782  4 Os 2.98, 8 Hg 3.07-3.14, 1 Si 3.10
Hg 0.0000 0.0000 0.9720  4 Si 2.99, 8 Hg 3.07-3.14, 1 Os 3.10
Si 0.5000 0.5000 0.6958  4 Os 2.41
Os 0.0000 0.0000 0.5541  4 Si 2.41

Results
E	-4.554	eV per atom

=====

(10)
VASP calculation (GGA-PBEsol) on crystalline Cs2Te2O5 at its relaxed geometry.

abc: 10.7398 11.8916 11.9157
angles: 90.00 90.00 90.00
Last column: nearest neighbours and their distance in Å.
Fractional coordinates of all 72 atoms:
Te 0.9956 0.7546 0.5116  3 O 1.85-2.01
Te 0.5044 0.2546 0.4884  3 O 1.85-2.01
Te 0.5011 0.4906 0.2538  3 O 1.85-2.02
Te 0.5044 0.7546 0.0116  3 O 1.85-2.01
Te 0.9956 0.2546 0.9884  3 O 1.85-2.01
Te 0.5011 0.9906 0.2462  3 O 1.85-2.02
Te 0.4956 0.7454 0.5116  3 O 1.85-2.01
Te 0.0011 0.5094 0.2462  3 O 1.85-2.02
Te 0.4989 0.0094 0.7538  3 O 1.85-2.02
Te 0.0011 0.0094 0.2538  3 O 1.85-2.02
Te 0.0044 0.2454 0.4884  3 O 1.85-2.01
Te 0.4989 0.5094 0.7462  3 O 1.85-2.02
Te 0.4956 0.2454 0.9884  3 O 1.85-2.01
Te 0.9989 0.4906 0.7538  3 O 1.85-2.02
Te 0.0044 0.7454 0.0116  3 O 1.85-2.01
Te 0.9989 0.9906 0.7462  3 O 1.85-2.02
Cs 0.7506 0.2529 0.7474  8 O 3.05-3.41
Cs 0.7494 0.2529 0.2474  8 O 3.05-3.41
Cs 0.7253 0.0044 0.4965  9 O 3.03-3.35
Cs 0.7494 0.7529 0.2526  8 O 3.05-3.41
Cs 0.7506 0.7529 0.7526  8 O 3.05-3.41
Cs 0.2506 0.7471 0.7526  8 O 3.05-3.41
Cs 0.2506 0.2471 0.7474  8 O 3.05-3.41
Cs 0.2494 0.7471 0.2526  8 O 3.05-3.41
Cs 0.2253 0.4956 0.4965  9 O 3.03-3.35
Cs 0.7747 0.5044 0.5035  9 O 3.03-3.35
Cs 0.2253 0.9956 0.0035  9 O 3.03-3.35
Cs 0.7747 0.0044 0.9965  9 O 3.03-3.35
Cs 0.2494 0.2471 0.2474  8 O 3.05-3.41
Cs 0.7253 0.5044 0.0035  9 O 3.03-3.35
Cs 0.2747 0.9956 0.5035  9 O 3.03-3.35
Cs 0.2747 0.4956 0.9965  9 O 3.03-3.35
O 0.9850 0.8595 0.1200  1 Te 1.88
O 0.1759 0.2345 0.4974  1 Te 1.85
O 0.1759 0.7345 0.0026  1 Te 1.85
O 0.5150 0.3595 0.8800  1 Te 1.88
O 0.3279 0.4937 0.7346  1 Te 1.85
O 0.5087 0.6190 0.8596  1 Te 1.88
O 0.0272 0.8848 0.6155  2 Te 2.01-2.02
O 0.4728 0.8848 0.1155  2 Te 2.01-2.02
O 0.1721 0.4937 0.2346  1 Te 1.85
O 0.0272 0.3848 0.8845  2 Te 2.01-2.02
O 0.8279 0.0063 0.7346  1 Te 1.85
O 0.6759 0.7655 0.0026  1 Te 1.85
O 0.9728 0.6152 0.1155  2 Te 2.01-2.02
O 0.6721 0.0063 0.2346  1 Te 1.85
O 0.9913 0.1190 0.1404  1 Te 1.88
O 0.4850 0.6405 0.1200  1 Te 1.88
O 0.0087 0.8810 0.8596  1 Te 1.88
O 0.0150 0.6405 0.6200  1 Te 1.88
O 0.4913 0.8810 0.3596  1 Te 1.88
O 0.4728 0.3848 0.3845  2 Te 2.01-2.02
O 0.3279 0.9937 0.7654  1 Te 1.85
O 0.5272 0.1152 0.8845  2 Te 2.01-2.02
O 0.0087 0.3810 0.6404  1 Te 1.88
O 0.3241 0.7345 0.5026  1 Te 1.85
O 0.6721 0.5063 0.2654  1 Te 1.85
O 0.9913 0.6190 0.3596  1 Te 1.88
O 0.4850 0.1405 0.3800  1 Te 1.88
O 0.5272 0.6152 0.6155  2 Te 2.01-2.02
O 0.4913 0.3810 0.1404  1 Te 1.88
O 0.6759 0.2655 0.4974  1 Te 1.85
O 0.8241 0.7655 0.5026  1 Te 1.85
O 0.9850 0.3595 0.3800  1 Te 1.88
O 0.9728 0.1152 0.3845  2 Te 2.01-2.02
O 0.8241 0.2655 0.9974  1 Te 1.85
O 0.5087 0.1190 0.6404  1 Te 1.88
O 0.3241 0.2345 0.9974  1 Te 1.85
O 0.1721 0.9937 0.2654  1 Te 1.85
O 0.0150 0.1405 0.8800  1 Te 1.88
O 0.8279 0.5063 0.7654  1 Te 1.85
O 0.5150 0.8595 0.6200  1 Te 1.88

Results
E	-5.279	eV per atom

=====

(11)
VASP calculation (GGA-PBEsol) on crystalline ZnIr2Os at its relaxed geometry.

abc: 2.7207 2.7207 8.8159
angles: 81.12 81.12 60.00
Last column: nearest neighbours and their distance in Å.
Fractional coordinates of all 4 atoms:
Ir 0.2499 0.2499 0.2502  3 Os 2.68, 3 Zn 2.68, 6 Ir 2.72
Ir 0.7501 0.7501 0.7498  3 Os 2.68, 3 Zn 2.68, 6 Ir 2.72
Zn 0.0000 0.0000 0.0000  6 Ir 2.68, 6 Zn 2.72
Os 0.5000 0.5000 0.5000  6 Ir 2.68, 6 Os 2.72

Results
E	-8.400	eV per atom

=====

(12)
VASP calculation (GGA-PBEsol) on crystalline NiMoRh2Br at its relaxed geometry.

abc: 4.3093 4.4958 4.4958
angles: 90.00 90.00 90.00
Last column: nearest neighbours and their distance in Å.
Fractional coordinates of all 5 atoms:
Rh 0.0000 0.0000 0.5000  2 Ni 2.25
Rh 0.0000 0.5000 0.0000  2 Ni 2.25
Mo 0.5000 0.5000 0.5000  8 Rh 3.11, 4 Br 3.18
Br 0.5000 0.0000 0.0000  2 Ni 2.15
Ni 0.0000 0.0000 0.0000  2 Br 2.15, 4 Rh 2.25

Results
E	-5.691	eV per atom

=====

(13)
VASP calculation (GGA-PBEsol) on crystalline ZrBeCu2Rh at its relaxed geometry.

abc: 4.3733 4.5443 4.5443
angles: 90.00 90.00 90.00
Last column: nearest neighbours and their distance in Å.
Fractional coordinates of all 5 atoms:
Cu 0.0000 0.5000 0.0000  2 Zr 2.27
Cu 0.0000 0.0000 0.5000  2 Zr 2.27
Be 0.5000 0.0000 0.0000  2 Zr 2.19
Zr 0.0000 0.0000 0.0000  2 Be 2.19, 4 Cu 2.27
Rh 0.5000 0.5000 0.5000  8 Cu 3.15, 4 Be 3.21

Results
E	-4.126	eV per atom